1.
Here is an optimized crystal structure of CaCd2Pd5 from Alexandria via LeMat-Bulk. Energies are from GGA-PBE.

abc: 4.303 4.303 15.230
angles: 90.00 90.00 90.00
Space group I4/mmm (No. 139)
Unique sites:
Ca  0.000  0.000  0.000 [2 per cell]
Cd  0.000  0.000  0.251 [4 per cell]
Pd  0.000  0.000  0.500 [2 per cell]
Pd  0.000  0.500  0.130 [8 per cell]


2.
Here is an optimized crystal structure of Ac3Al8Cd3 from Alexandria via LeMat-Bulk. Energies are from GGA-PBE.

abc: 4.625 10.296 14.044
angles: 90.00 90.00 90.00
Space group Immm (No. 71)
Unique sites:
Ac  0.000  0.000  0.000 [2 per cell]
Ac  0.000  0.000  0.308 [4 per cell]
Al  0.000  0.270  0.150 [8 per cell]
Al  0.000  0.368  0.336 [8 per cell]
Cd  0.000  0.216  0.500 [4 per cell]
Cd  0.000  0.500  0.000 [2 per cell]


3.
Here is an optimized crystal structure of Dy3Tm4Th5 from Alexandria via LeMat-Bulk. Energies are from GGA-PBE.

abc: 16.071 5.910 9.192
angles: 90.00 116.78 90.00
Space group C2/m (No. 12)
Unique sites:
Dy  0.000  0.000  0.000 [2 per cell]
Dy  0.215  0.500  0.234 [4 per cell]
Tm  0.174  0.000  0.382 [4 per cell]
Tm  0.207  0.500  0.873 [4 per cell]
Th  0.000  0.500  0.000 [2 per cell]
Th  0.074  0.000  0.692 [4 per cell]
Th  0.078  0.500  0.432 [4 per cell]


4.
Here is an optimized crystal structure of PmSmTh2Bi5 from Alexandria via LeMat-Bulk. Energies are from GGA-PBE.

abc: 5.488 5.488 11.885
angles: 90.00 90.00 90.00
Space group P4/mmm (No. 123)
Unique sites:
Pm  0.000  0.000  0.000 [1 per cell]
Sm  0.000  0.000  0.500 [1 per cell]
Th  0.500  0.500  0.302 [2 per cell]
Bi  0.000  0.000  0.249 [2 per cell]
Bi  0.000  0.500  0.500 [2 per cell]
Bi  0.500  0.500  0.000 [1 per cell]


5.
Here is an optimized crystal structure of Ba6BiP2Br3 from Alexandria via LeMat-Bulk. Energies are from GGA-PBE.

Output
formation energy without anion corrections	-145.20	kJ per mole of atoms

abc: 21.297 4.829 9.783
angles: 90.00 103.79 90.00
Space group C2/m (No. 12)
Unique sites:
Ba  0.013  0.000  0.252 [4 per cell]
Ba  0.166  0.500  0.116 [4 per cell]
Ba  0.177  0.500  0.563 [4 per cell]
Bi  0.000  0.500  0.000 [2 per cell]
P  0.169  0.000  0.339 [4 per cell]
Br  0.000  0.500  0.500 [2 per cell]
Br  0.167  0.000  0.832 [4 per cell]


6.
Here is an optimized crystal structure of K3Rb8Pd from Alexandria via LeMat-Bulk. Energies are from GGA-PBE.

abc: 14.4399 14.4399 9.9770
angles: 90.00 90.00 120.00
Space group P6_3mc (No. 186)
Unique sites:
K  0.1518  0.3037  0.0000 [6 per cell]
Rb  0.0000  0.0000  0.2479 [2 per cell]
Rb  0.0638  0.5319  0.7550 [6 per cell]
Rb  0.2189  0.4378  0.4634 [6 per cell]
Rb  0.3333  0.6667  0.0362 [2 per cell]
Pd  0.3333  0.6667  0.6711 [2 per cell]


7.
Here is an optimized crystal structure of TcNO2F from Alexandria via LeMat-Bulk. Energies are from GGA-PBE.

Output
formation energy without anion corrections	159.34	kJ per mole of atoms

abc: 3.728 3.728 3.560
angles: 90.00 90.00 90.00
Space group P4/mmm (No. 123)
Unique sites:
Tc  0.000  0.000  0.000 [1 per cell]
N  0.500  0.500  0.000 [1 per cell]
O  0.000  0.500  0.500 [2 per cell]
F  0.500  0.500  0.500 [1 per cell]


8.
Here is an optimized crystal structure of Sr3ZrAl2O8 from Alexandria via LeMat-Bulk. Energies are from GGA-PBE.

Output
formation energy without anion corrections	-290.72	kJ per mole of atoms

abc: 5.7027 5.7027 7.1605
angles: 90.00 90.00 120.00
Space group P-3m1 (No. 164)
Unique sites:
Sr  0.0000  0.0000  0.0000 [1 per cell]
Sr  0.3333  0.6667  0.6589 [2 per cell]
Zr  0.0000  0.0000  0.5000 [1 per cell]
Al  0.3333  0.6667  0.2122 [2 per cell]
O  0.1702  0.3403  0.3229 [6 per cell]
O  0.3333  0.6667  0.9740 [2 per cell]


9.
Here is an optimized crystal structure of Ac2CePrAs4 from Alexandria via LeMat-Bulk. Energies are from GGA-PBE.

abc: 7.626 4.407 7.647
angles: 90.00 109.38 90.00
Space group P2/m (No. 10)
Unique sites:
Ac  0.000  0.000  0.000 [1 per cell]
Ac  0.500  0.500  0.000 [1 per cell]
Ce  0.000  0.500  0.500 [1 per cell]
Pr  0.500  0.000  0.500 [1 per cell]
As  0.241  0.000  0.732 [2 per cell]
As  0.251  0.500  0.265 [2 per cell]


10.
Here is an optimized crystal structure of Cr4AsPb from Alexandria via LeMat-Bulk. Energies are from GGA-PBE.

abc: 7.075 7.075 7.075
angles: 90.00 90.00 90.00
Space group F-43m (No. 216)
Unique sites:
Cr  0.124  0.124  0.376 [16 per cell]
As  0.250  0.250  0.750 [4 per cell]
Pb  0.000  0.000  0.000 [4 per cell]


11.
Here is an optimized crystal structure of PRu from Alexandria via LeMat-Bulk. Energies are from GGA-PBE.

abc: 6.523 9.383 11.389
angles: 90.00 90.00 90.00
Space group Fddd (No. 70, origin choice 2)
Unique sites:
P  0.125  0.317  0.125 [16 per cell]
Ru  0.125  0.125  0.251 [16 per cell]


12.
Here is an optimized crystal structure of Pm2ScCuTe5 from Alexandria via LeMat-Bulk. Energies are from GGA-PBE.

Output
formation energy without anion corrections	-111.86	kJ per mole of atoms

abc: 4.246 18.778 12.802
angles: 90.00 90.00 90.00
Space group Cmc2_1 (No. 36)
Unique sites:
Pm  0.000  0.110  0.000 [4 per cell]
Pm  0.000  0.126  0.618 [4 per cell]
Sc  0.000  0.188  0.323 [4 per cell]
Cu  0.000  0.425  0.770 [4 per cell]
Te  0.000  0.044  0.376 [4 per cell]
Te  0.000  0.286  0.977 [4 per cell]
Te  0.000  0.307  0.659 [4 per cell]
Te  0.000  0.349  0.312 [4 per cell]
Te  0.000  0.500  0.099 [4 per cell]


These records have total magnetization values of 0.0, 0.0, 0.0, 0.0, 0.0, 0.0, 2.6, 0.0, 0.7, 0.0, 0.0, 0.0 μB per formula unit, in the order they appear.
These records have electronic total energy values of -0.1536, -0.1288, -0.2000, -0.1749, -0.1510, -0.0477, -0.1633, -0.2702, -0.2260, -0.2653, -0.2839, -0.1881 Ha/atom, in the order they appear.